(1)
The following is a PBE calculation of a relaxed structure of K2Rb, from Alexandria.

Unit cell a=5.0727 b=8.4635 c=12.1403 alpha=70.67 beta=78.39 gamma=73.14
Last column: nearest neighbours and their distance in Å.
Sites, in units of the cell vectors:
K 0.0052 0.2252 0.2646  7 K 4.53-5.07, 5 Rb 4.77-4.98
K 0.3332 0.2589 0.5750  10 K 4.53-5.07, 2 Rb 4.72-4.76
K 0.6668 0.7411 0.4250  10 K 4.53-5.07, 2 Rb 4.72-4.76
K 0.9948 0.7748 0.7354  7 K 4.53-5.07, 5 Rb 4.77-4.98
Rb 0.3371 0.7359 0.0895  7 K 4.72-4.98, 5 Rb 4.88-5.07
Rb 0.6629 0.2641 0.9105  7 K 4.72-4.98, 5 Rb 4.88-5.07

Summary:
The formation energy is 3 meV/atom. For the total energy, the calculation gives -1.05 eV/atom.

(2)
The following is a PBE calculation of a relaxed structure of K2IrO4, from Alexandria.

Unit cell a=5.9228 b=5.9228 c=6.6867 alpha=117.08 beta=117.08 gamma=31.43
Last column: nearest neighbours and their distance in Å.
Sites, in units of the cell vectors:
K 0.1618 0.1618 0.1851  7 O 2.74-2.85
K 0.8382 0.8382 0.8149  7 O 2.74-2.85
Ir 0.5000 0.5000 0.5000  6 O 1.85-2.04
O 0.1223 0.1223 0.5579  2 Ir 2.04
O 0.4589 0.4589 0.1966  1 Ir 1.85
O 0.5411 0.5411 0.8034  1 Ir 1.85
O 0.8777 0.8777 0.4421  2 Ir 2.04

Summary:
As for the formation energy from raw total energies: -1.14 eV per atom. The energy above the most stable polymorph in this dataset is 0.0 meV per atom. For the total energy, the calculation gives -5.55 eV/atom.

(3)
The following is a PBE calculation of a relaxed structure of Li2MgRe, from Alexandria.

Unit cell a=4.8934 b=4.8934 c=4.8934 alpha=132.97 beta=132.97 gamma=68.69
Last column: nearest neighbours and their distance in Å.
Sites, in units of the cell vectors:
Li 0.0000 0.0000 0.0000  4 Re 2.76, 4 Li 2.81, 4 Mg 2.81
Li 0.7500 0.2500 0.5000  4 Mg 2.76, 4 Re 2.81, 4 Li 2.81
Mg 0.2500 0.7500 0.5000  8 Li 2.76-2.81, 4 Re 2.81
Re 0.5000 0.5000 0.0000  8 Li 2.76-2.81, 4 Mg 2.81

Summary:
The energy above the most stable polymorph in this dataset is 487.5 meV per atom. The formation energy is 686 meV/atom. For the total energy, the calculation gives -3.78 eV/atom.

(4)
The following is a PBE calculation of a relaxed structure of Cd2BiBr6, from Alexandria.

Unit cell a=7.2950 b=7.2950 c=10.5519 alpha=90.27 beta=90.27 gamma=38.27
Last column: nearest neighbours and their distance in Å.
Sites, in units of the cell vectors:
Cd 0.2304 0.2304 0.2896  4 Br 2.65-2.78
Cd 0.7696 0.7696 0.7104  4 Br 2.65-2.78
Bi 0.5000 0.5000 0.0000  6 Br 2.89-3.03
Br 0.1268 0.1268 0.0628  1 Cd 2.78, 2 Bi 3.03
Br 0.3206 0.3206 0.6110  2 Cd 2.71
Br 0.4202 0.4202 0.2528  1 Cd 2.65, 1 Bi 2.89
Br 0.5798 0.5798 0.7472  1 Cd 2.65, 1 Bi 2.89
Br 0.6794 0.6794 0.3890  2 Cd 2.71
Br 0.8732 0.8732 0.9372  1 Cd 2.78, 2 Bi 3.03

Summary:
As for the formation energy from raw total energies: -0.65 eV per atom. For the total energy, the calculation gives -2.40 eV/atom.

(5)
The following is a PBE calculation of a relaxed structure of HfZr2ScN, from Alexandria.

Unit cell a=4.6298 b=4.6298 c=4.4238 alpha=90.00 beta=90.00 gamma=90.00
Last column: nearest neighbours and their distance in Å.
Sites, in units of the cell vectors:
Hf 0.0000 0.0000 0.0000  2 N 2.21
Zr 0.0000 0.5000 0.5000  2 N 2.31
Zr 0.5000 0.0000 0.5000  2 N 2.31
Sc 0.5000 0.5000 0.0000  8 Zr 3.20, 4 Hf 3.27
N 0.0000 0.0000 0.5000  2 Hf 2.21, 4 Zr 2.31

Summary:
As for the formation energy from raw total energies: -0.70 eV per atom. The energy above the most stable polymorph in this dataset is 0.0 meV per atom. For the total energy, the calculation gives -9.04 eV/atom.

(6)
The following is a PBE calculation of a relaxed structure of Sr6GeSe2I3, from Alexandria.

Unit cell a=7.9764 b=7.9764 c=8.2709 alpha=99.21 beta=99.21 gamma=119.97
Last column: nearest neighbours and their distance in Å.
Sites, in units of the cell vectors:
Sr 0.0680 0.3932 0.2047  1 Ge 3.05, 2 Se 3.13-3.14
Sr 0.2558 0.2558 0.7929  1 Ge 3.06, 2 Se 3.14
Sr 0.3932 0.0680 0.2047  1 Ge 3.05, 2 Se 3.13-3.14
Sr 0.6068 0.9320 0.7953  1 Ge 3.05, 2 Se 3.13-3.14
Sr 0.7442 0.7442 0.2071  1 Ge 3.06, 2 Se 3.14
Sr 0.9320 0.6068 0.7953  1 Ge 3.05, 2 Se 3.13-3.14
Ge 0.0000 0.0000 0.0000  6 Sr 3.05-3.06
Se 0.3340 0.6660 0.0000  6 Sr 3.13-3.14
Se 0.6660 0.3340 0.0000  6 Sr 3.13-3.14
I 0.1716 0.8284 0.5000  6 Sr 3.50-3.53
I 0.5000 0.5000 0.5000  6 Sr 3.50-3.56
I 0.8284 0.1716 0.5000  6 Sr 3.50-3.53

Summary:
As for the formation energy from raw total energies: -1.46 eV per atom. For the total energy, the calculation gives -3.66 eV/atom.

(7)
The following is a PBE calculation of a relaxed structure of UHg2Pd9, from Alexandria.

Unit cell a=4.0773 b=4.0773 c=12.2626 alpha=90.00 beta=90.00 gamma=90.00
Last column: nearest neighbours and their distance in Å.
Sites, in units of the cell vectors:
U 0.0000 0.0000 0.0000  12 Pd 2.84-2.88
Hg 0.0000 0.0000 0.3369  12 Pd 2.86-2.97
Hg 0.0000 0.0000 0.6631  12 Pd 2.86-2.97
Pd 0.0000 0.5000 0.1607  2 U 2.84, 8 Pd 2.84-2.91, 2 Hg 2.97
Pd 0.0000 0.5000 0.5000  4 Hg 2.86, 8 Pd 2.88-2.92
Pd 0.0000 0.5000 0.8393  2 U 2.84, 8 Pd 2.84-2.91, 2 Hg 2.97
Pd 0.5000 0.0000 0.1607  2 U 2.84, 8 Pd 2.84-2.91, 2 Hg 2.97
Pd 0.5000 0.0000 0.5000  4 Hg 2.86, 8 Pd 2.88-2.92
Pd 0.5000 0.0000 0.8393  2 U 2.84, 8 Pd 2.84-2.91, 2 Hg 2.97
Pd 0.5000 0.5000 0.0000  8 Pd 2.84, 4 U 2.88
Pd 0.5000 0.5000 0.3296  4 Hg 2.88, 8 Pd 2.91-2.92
Pd 0.5000 0.5000 0.6704  4 Hg 2.88, 8 Pd 2.91-2.92

Summary:
The formation energy is -301 meV/atom. For the total energy, the calculation gives -5.19 eV/atom.

(8)
The following is a PBE calculation of a relaxed structure of Pm4TmPb2, from Alexandria.

Unit cell a=7.6891 b=7.6891 c=7.6891 alpha=134.19 beta=134.19 gamma=66.79
Last column: nearest neighbours and their distance in Å.
Sites, in units of the cell vectors:
Pm 0.0000 0.5000 0.5000  2 Tm 2.99, 2 Pm 3.21
Pm 0.2500 0.7500 0.5000  2 Pm 3.21, 4 Pb 3.36
Pm 0.5000 0.0000 0.5000  2 Tm 2.99, 2 Pm 3.21
Pm 0.7500 0.2500 0.5000  2 Pm 3.21, 4 Pb 3.36
Tm 0.0000 0.0000 0.0000  4 Pm 2.99
Pb 0.3687 0.3687 0.0000  8 Pm 3.36-3.43, 1 Pb 3.37
Pb 0.6313 0.6313 0.0000  8 Pm 3.36-3.43, 1 Pb 3.37

Summary:
The formation energy is 61 meV/atom. For the total energy, the calculation gives -4.35 eV/atom.

(9)
The following is a PBE calculation of a relaxed structure of Nd4ZnSiBr2, from Alexandria.

Unit cell a=7.4734 b=4.2252 c=7.6131 alpha=90.00 beta=108.18 gamma=90.00
Last column: nearest neighbours and their distance in Å.
Sites, in units of the cell vectors:
Nd 0.2339 0.0000 0.2203  2 Si 2.92, 1 Zn 2.97, 3 Br 3.15-3.21
Nd 0.2558 0.5000 0.7748  1 Si 2.94, 2 Zn 2.96, 3 Br 3.16-3.18
Nd 0.7442 0.5000 0.2252  1 Si 2.94, 2 Zn 2.96, 3 Br 3.16-3.18
Nd 0.7661 0.0000 0.7797  2 Si 2.92, 1 Zn 2.97, 3 Br 3.15-3.21
Zn 0.5000 0.0000 0.0000  6 Nd 2.96-2.97
Si 0.0000 0.5000 0.0000  6 Nd 2.92-2.94
Br 0.0000 0.0000 0.5000  6 Nd 3.15-3.16
Br 0.5000 0.5000 0.5000  6 Nd 3.18-3.21

Summary:
As for the formation energy from raw total energies: -0.88 eV per atom. For the total energy, the calculation gives -4.52 eV/atom.

(10)
The following is a PBE calculation of a relaxed structure of KBeZn2, from Alexandria.

Unit cell a=3.2804 b=3.2804 c=7.8386 alpha=90.00 beta=90.00 gamma=90.00
Last column: nearest neighbours and their distance in Å.
Sites, in units of the cell vectors:
K 0.0000 0.0000 0.0000  4 K 3.28, 5 Zn 3.33-3.53, 4 Be 3.62
Be 0.5000 0.5000 0.6449  5 Zn 2.38-2.39
Zn 0.0000 0.0000 0.5746  4 Be 2.38
Zn 0.5000 0.5000 0.3397  1 Be 2.39

Summary:
The formation energy is 407 meV/atom. For the total energy, the calculation gives -1.44 eV/atom.

(11)
The following is a PBE calculation of a relaxed structure of Tb6ErMg5, from Alexandria.

Unit cell a=5.3912 b=7.6806 c=8.5803 alpha=90.00 beta=108.28 gamma=90.00
Last column: nearest neighbours and their distance in Å.
Sites, in units of the cell vectors:
Tb 0.0000 0.2397 0.0000  6 Mg 3.26-3.32, 2 Er 3.36
Tb 0.0000 0.7603 0.0000  6 Mg 3.26-3.32, 2 Er 3.36
Tb 0.3327 0.2475 0.6607  7 Mg 3.26-3.36, 1 Er 3.38
Tb 0.3327 0.7525 0.6607  7 Mg 3.26-3.36, 1 Er 3.38
Tb 0.6673 0.2475 0.3393  7 Mg 3.26-3.36, 1 Er 3.38
Tb 0.6673 0.7525 0.3393  7 Mg 3.26-3.36, 1 Er 3.38
Er 0.5000 0.5000 0.0000  8 Tb 3.36-3.38
Mg 0.1602 0.5000 0.3252  8 Tb 3.32-3.35
Mg 0.1639 0.0000 0.3349  8 Tb 3.26-3.30
Mg 0.5000 0.0000 0.0000  8 Tb 3.26-3.36
Mg 0.8361 0.0000 0.6651  8 Tb 3.26-3.30
Mg 0.8398 0.5000 0.6748  8 Tb 3.32-3.35

Summary:
The formation energy is -36 meV/atom. For the total energy, the calculation gives -3.40 eV/atom.

(12)
The following is a PBE calculation of a relaxed structure of YSc2Ag, from Alexandria.

Unit cell a=3.5335 b=4.6765 c=6.2347 alpha=90.00 beta=106.17 gamma=90.00
Last column: nearest neighbours and their distance in Å.
Sites, in units of the cell vectors:
Y 0.0000 0.0000 0.0000  4 Ag 3.15-3.18, 7 Sc 3.16-3.49
Sc 0.3468 0.5000 0.6850  3 Ag 3.09-3.43, 4 Sc 3.19-3.20
Sc 0.7431 0.0000 0.4728  2 Ag 2.85, 1 Y 3.16
Ag 0.5914 0.5000 0.2008  3 Sc 2.85-3.09, 4 Y 3.15-3.18

Summary:
The energy above the most stable polymorph in this dataset is 86.8 meV per atom. The formation energy is -28 meV/atom. For the total energy, the calculation gives -5.52 eV/atom.

(13)
The following is a PBE calculation of a relaxed structure of KTi2Mo4, from Alexandria.

Unit cell a=7.4090 b=7.4090 c=7.4090 alpha=144.87 beta=144.87 gamma=50.52
Last column: nearest neighbours and their distance in Å.
Sites, in units of the cell vectors:
K 0.0000 0.0000 0.0000  4 Mo 2.24
Ti 0.3746 0.3746 0.0000  1 Mo 2.31
Ti 0.6254 0.6254 0.0000  1 Mo 2.31
Mo 0.0000 0.5000 0.5000  2 K 2.24
Mo 0.2020 0.2020 0.0000  1 Ti 2.31
Mo 0.5000 0.0000 0.5000  2 K 2.24
Mo 0.7980 0.7980 0.0000  1 Ti 2.31

Summary:
The formation energy is 2238 meV/atom. For the total energy, the calculation gives -6.36 eV/atom.

(14)
The following is a PBE calculation of a relaxed structure of LiLaPuPb, from Alexandria.

Unit cell a=5.4850 b=5.4850 c=5.4850 alpha=60.00 beta=60.00 gamma=60.00
Last column: nearest neighbours and their distance in Å.
Sites, in units of the cell vectors:
Li 0.0000 0.0000 0.0000  4 Pu 3.36, 4 La 3.36
La 0.2500 0.2500 0.2500  4 Pb 3.36, 4 Li 3.36
Pu 0.7500 0.7500 0.7500  4 Pb 3.36, 4 Li 3.36
Pb 0.5000 0.5000 0.5000  4 La 3.36, 4 Pu 3.36

Summary:
The formation energy is -100 meV/atom. For the total energy, the calculation gives -6.32 eV/atom.

(15)
The following is a PBE calculation of a relaxed structure of Y2ReRu, from Alexandria.

Unit cell a=10.1326 b=10.1326 c=10.1326 alpha=17.71 beta=17.71 gamma=17.71
Last column: nearest neighbours and their distance in Å.
Sites, in units of the cell vectors:
Y 0.0000 0.0000 0.0000  3 Ru 3.01, 6 Y 3.12
Y 0.2259 0.2259 0.2259  3 Re 3.04, 6 Y 3.12
Re 0.4774 0.4774 0.4774  3 Ru 2.62
Ru 0.7473 0.7473 0.7473  3 Re 2.62

Summary:
The energy above the most stable polymorph in this dataset is 556.3 meV per atom. The formation energy is 516 meV/atom. For the total energy, the calculation gives -8.15 eV/atom.

(16)
The following is a PBE calculation of a relaxed structure of Re3AgAs, from Alexandria.

Unit cell a=4.7828 b=4.7828 c=4.7828 alpha=90.00 beta=90.00 gamma=90.00
Last column: nearest neighbours and their distance in Å.
Sites, in units of the cell vectors:
Re 0.0000 0.0000 0.5000  2 Ag 2.39
Re 0.0000 0.5000 0.0000  2 Ag 2.39
Re 0.5000 0.0000 0.0000  2 Ag 2.39
Ag 0.0000 0.0000 0.0000  6 Re 2.39
As 0.5000 0.5000 0.5000  12 Re 3.38

Summary:
The energy above the most stable polymorph in this dataset is 1402.9 meV per atom. The formation energy is 3121 meV/atom. For the total energy, the calculation gives -5.85 eV/atom.

(17)
The following is a PBE calculation of a relaxed structure of CePdPtPb, from Alexandria.

Unit cell a=4.9561 b=4.9561 c=4.9561 alpha=60.00 beta=60.00 gamma=60.00
Last column: nearest neighbours and their distance in Å.
Sites, in units of the cell vectors:
Ce 0.0000 0.0000 0.0000  4 Pd 3.03, 4 Pt 3.03
Pd 0.2500 0.2500 0.2500  4 Pb 3.03, 4 Ce 3.03
Pt 0.7500 0.7500 0.7500  4 Pb 3.03, 4 Ce 3.03
Pb 0.5000 0.5000 0.5000  4 Pt 3.03, 4 Pd 3.03

Summary:
The formation energy is -651 meV/atom. For the total energy, the calculation gives -5.87 eV/atom.

(18)
The following is a PBE calculation of a relaxed structure of Tm2Pa2C3, from Alexandria.

Unit cell a=6.2258 b=6.2258 c=6.1236 alpha=100.39 beta=100.39 gamma=33.32
Last column: nearest neighbours and their distance in Å.
Sites, in units of the cell vectors:
Tm 0.1346 0.1346 0.3676  4 C 2.50-2.57
Tm 0.8654 0.8654 0.6324  4 C 2.50-2.57
Pa 0.3752 0.3752 0.1227  5 C 2.40-2.53
Pa 0.6248 0.6248 0.8773  5 C 2.40-2.53
C 0.0000 0.0000 0.0000  2 Tm 2.51, 4 Pa 2.53
C 0.2485 0.2485 0.7678  3 Pa 2.40-2.49, 3 Tm 2.50-2.57
C 0.7515 0.7515 0.2322  3 Pa 2.40-2.49, 3 Tm 2.50-2.57

Summary:
The formation energy is -380 meV/atom. For the total energy, the calculation gives -8.32 eV/atom.

(19)
The following is a PBE calculation of a relaxed structure of In2SbW, from Alexandria.

Unit cell a=3.1039 b=3.1039 c=10.6015 alpha=90.00 beta=90.00 gamma=109.21
Last column: nearest neighbours and their distance in Å.
Sites, in units of the cell vectors:
In 0.0000 0.0000 0.0000  2 W 2.90, 4 In 3.10
In 0.5000 0.5000 0.2578  6 In 3.10-3.27
Sb 0.0000 0.0000 0.5903  2 W 2.74
W 0.5000 0.5000 0.7852  2 Sb 2.74, 2 In 2.90

Summary:
As for the formation energy from raw total energies: 0.47 eV per atom. For the total energy, the calculation gives -5.17 eV/atom.